Material: ZrMnGe
Method: DFT, PBE-GGA
State: optimized geometry

abc: 3.792 6.734 7.835
angles: 90.00 90.00 90.00
Each line ends with the local moment (μB).
Sites, in units of the cell vectors:
Zr 0.250 0.534 0.321  -0.13
Zr 0.250 0.034 0.179  -0.13
Zr 0.750 0.966 0.821  -0.13
Zr 0.750 0.466 0.679  -0.13
Mn 0.750 0.867 0.439  2.64
Mn 0.250 0.133 0.561  2.64
Mn 0.750 0.367 0.061  2.64
Mn 0.250 0.633 0.939  2.64
Ge 0.750 0.739 0.125  -0.05
Ge 0.250 0.761 0.625  -0.05
Ge 0.250 0.261 0.875  -0.05
Ge 0.750 0.239 0.375  -0.05

## Properties
D(E_F) in states/eV per cell: 12.35



Material: Zr3MnGe
Method: DFT, PBE-GGA
State: optimized geometry

abc: 4.824 4.824 4.824
angles: 90.00 90.00 90.00
Sites, in units of the cell vectors:
Ge 0.500 0.500 0.500
Mn 0.000 0.000 0.000
Zr 0.000 0.500 0.000
Zr 0.000 0.000 0.500
Zr 0.500 0.000 0.000

## Properties
D(E_F) in states/eV per cell: 9.35



Number 1: theoretical density 7.26 g/cm³, DFT formation energy -0.57 eV per atom. Number 2: theoretical density 5.94 g/cm³, DFT formation energy 0.25 eV per atom.